Compound: BiW2O8
Source: Alexandria
Functional: PBE+U
Structure: relaxed

Its energy above the most stable polymorph in this dataset is 8 meV/atom. The size of the total moment comes out at 0.998 μB per formula unit.

The structure belongs to space group P-1 (No. 2); the cell edges are 5.311, 6.090 and 6.174 Å and the angles 70.44°, 89.36° and 66.11°. The distinct sites, in fractional coordinates, are Bi at (0.000, 0.000, 0.000), W at (0.257, 0.504, 0.670), O at (0.130, 0.319, 0.480), O at (0.235, 0.753, 0.777), O at (0.241, 0.262, 0.932) and O at (0.345, 0.686, 0.331).